1.
Ca3Sc3AgTe8: relaxed, PBE.

abc: 8.5733 8.5733 21.4001
angles: 90.00 90.00 120.00
Space group R-3m (No. 166, hexagonal axes)
One atom of each set of equivalent atoms:
Ca: 0.0000 0.5000 0.0000 (multiplicity 9)
Sc: 0.0000 0.5000 0.5000 (multiplicity 9)
Ag: 0.0000 0.0000 0.5000 (multiplicity 3)
Te: 0.0000 0.0000 0.2438 (multiplicity 6)
Te: 0.0132 0.5066 0.7561 (multiplicity 18)

Computed properties:
crystal system	trigonal
formation energy from raw total energies	-1.178	eV/atom

2.
Ca2ScAgTe4: relaxed, PBE.

abc: 7.516 4.372 7.675
angles: 90.00 109.86 90.00
Space group P2/m (No. 10)
One atom of each set of equivalent atoms:
Ca: 0.000 0.000 0.000 (multiplicity 1)
Ca: 0.000 0.500 0.500 (multiplicity 1)
Sc: 0.500 0.000 0.500 (multiplicity 1)
Ag: 0.500 0.500 0.000 (multiplicity 1)
Te: 0.267 0.500 0.265 (multiplicity 2)
Te: 0.273 0.000 0.750 (multiplicity 2)

Computed properties:
crystal system	monoclinic
formation energy from raw total energies	-1.137	eV/atom

3.
CaScTlAg: relaxed, PBE.

abc: 7.291 7.291 7.291
angles: 90.00 90.00 90.00
Space group F-43m (No. 216)
One atom of each set of equivalent atoms:
Ca: 0.000 0.000 0.000 (multiplicity 4)
Sc: 0.000 0.000 0.500 (multiplicity 4)
Tl: 0.250 0.250 0.250 (multiplicity 4)
Ag: 0.250 0.250 0.750 (multiplicity 4)

Computed properties:
energy relative to the elements	-283	meV/atom
crystal system	cubic

4.
CaScVAg2: relaxed, PBE.

abc: 5.036 5.036 5.396
angles: 90.00 90.00 90.00
Space group P4/mmm (No. 123)
One atom of each set of equivalent atoms:
Ca: 0.000 0.000 0.000 (multiplicity 1)
Sc: 0.000 0.000 0.500 (multiplicity 1)
V: 0.500 0.500 0.000 (multiplicity 1)
Ag: 0.000 0.500 0.500 (multiplicity 2)

Computed properties:
energy relative to the elements	1422	meV/atom
crystal system	tetragonal

5.
CaScZn2Ag5: relaxed, PBE.

abc: 4.186 4.186 10.109
angles: 90.00 90.00 90.00
Space group P4/mmm (No. 123)
One atom of each set of equivalent atoms:
Ca: 0.000 0.000 0.000 (multiplicity 1)
Sc: 0.000 0.000 0.500 (multiplicity 1)
Zn: 0.500 0.500 0.384 (multiplicity 2)
Ag: 0.000 0.500 0.228 (multiplicity 4)
Ag: 0.500 0.500 0.000 (multiplicity 1)

Computed properties:
energy relative to the elements	-101	meV/atom
crystal system	tetragonal

6.
CaScZnAg: relaxed, PBE.

abc: 7.062 7.062 7.062
angles: 90.00 90.00 90.00
Space group F-43m (No. 216)
One atom of each set of equivalent atoms:
Ca: 0.000 0.000 0.000 (multiplicity 4)
Sc: 0.000 0.000 0.500 (multiplicity 4)
Zn: 0.250 0.250 0.250 (multiplicity 4)
Ag: 0.250 0.250 0.750 (multiplicity 4)

Computed properties:
energy relative to the elements	-222	meV/atom
crystal system	cubic

no.,E (eV/atom)
1,-4.710
2,-4.356
3,-3.670
4,-3.208
5,-2.894
6,-3.337